Crystalline AgTeRh2 at its relaxed geometry. Source: the Alexandria database, functional GGA-PBE.

extended XYZ file:
```
4
Lattice="1.627 0.939 7.916 -1.627 0.939 7.916 0.000 -1.878 7.916" Properties=species:S:1:pos:R:3 pbc="T T T"
Ag 0.000 0.000 0.000
Te 0.000 0.000 11.874
Rh 0.000 0.000 5.796
Rh 0.000 0.000 17.953
```

Values from the calculation:
Its density of states at the Fermi level is 3.38 states/eV/cell. The total energy comes out at -5.004 eV per atom. Its density is 10.1 g/cm³.

Crystalline Mg2BeVC at its relaxed geometry. Source: the Alexandria database, functional GGA-PBE.

extended XYZ file:
```
5
Lattice="4.630 0.000 0.000 0.000 4.630 0.000 0.000 0.000 3.357" Properties=species:S:1:pos:R:3 pbc="T T T"
Mg 0.000 2.315 0.000
Mg 2.315 0.000 0.000
Be 0.000 0.000 1.678
V 2.315 2.315 1.678
C 0.000 0.000 0.000
```

Values from the calculation:
Its density of states at the Fermi level is 6.14 states/eV/cell. The total energy comes out at -4.302 eV per atom. Its density is 2.8 g/cm³.

Crystalline Na3Li2Cd9 at its relaxed geometry. Source: the Alexandria database, functional GGA-PBE.

extended XYZ file:
```
14
Lattice="-2.418 5.748 5.959 2.418 -5.748 5.959 2.418 5.748 -5.959" Properties=species:S:1:pos:R:3 pbc="T T T"
Na 0.000 0.000 0.000
Na 0.000 0.000 3.413
Na 0.000 0.000 8.504
Li 2.418 3.949 0.000
Li 0.000 1.799 5.959
Cd 2.418 -1.471 1.556
Cd 2.418 -2.582 4.327
Cd 2.418 1.471 1.556
Cd 0.000 3.166 1.632
Cd 0.000 5.748 0.000
Cd 2.418 2.582 4.327
Cd 0.000 4.276 4.402
Cd 0.000 8.329 1.632
Cd 0.000 7.219 4.402
```

Values from the calculation:
Its density of states at the Fermi level is 5.51 states/eV/cell. The total energy comes out at -1.255 eV per atom. Its density is 5.5 g/cm³.

Crystalline CdCoHgPb2 at its relaxed geometry. Source: the Alexandria database, functional GGA-PBE.

extended XYZ file:
```
5
Lattice="5.036 0.000 0.000 0.000 5.036 0.000 0.000 0.000 5.160" Properties=species:S:1:pos:R:3 pbc="T T T"
Cd 0.000 0.000 0.000
Co 0.000 0.000 2.580
Hg 2.518 2.518 0.000
Pb 0.000 2.518 2.580
Pb 2.518 0.000 2.580
```

Values from the calculation:
Its density of states at the Fermi level is 3.13 states/eV/cell. The total energy comes out at -2.993 eV per atom. Its density is 10.0 g/cm³.

Crystalline RbHgW2 at its relaxed geometry. Source: the Alexandria database, functional GGA-PBE.

extended XYZ file:
```
8
Lattice="-2.288 2.288 10.579 2.288 -2.288 10.579 2.288 2.288 -10.579" Properties=species:S:1:pos:R:3 pbc="T T T"
Rb 0.000 0.000 0.000
Rb 0.000 2.288 5.290
Hg 2.288 0.000 5.290
Hg 0.000 0.000 10.579
W 1.144 1.874 -2.645
W 2.701 1.144 2.645
W 1.144 0.414 7.935
W -0.414 1.144 13.224
```

Values from the calculation:
Its density of states at the Fermi level is 8.60 states/eV/cell. The total energy comes out at -5.032 eV per atom. Its density is 9.8 g/cm³.

Crystalline Na2ScCuO4 at its relaxed geometry. Source: the Alexandria database, functional GGA-PBE.

extended XYZ file:
```
8
Lattice="-2.992 2.992 2.775 2.992 -2.992 2.775 2.992 2.992 -2.775" Properties=species:S:1:pos:R:3 pbc="T T T"
Na 2.992 0.000 0.000
Na 0.000 2.992 0.000
Sc 0.000 0.000 0.000
Cu 0.000 0.000 2.775
O 1.999 1.999 -1.326
O 0.992 0.992 1.448
O 0.992 -0.992 4.101
O -0.992 0.992 4.101
```

Values from the calculation:
The total energy comes out at -5.675 eV per atom. Its density is 3.7 g/cm³.

Crystalline LaPmP2 at its relaxed geometry. Source: the Alexandria database, functional GGA-PBE.

extended XYZ file:
```
4
Lattice="5.103 0.000 0.000 0.000 5.103 0.000 0.000 0.000 3.586" Properties=species:S:1:pos:R:3 pbc="T T T"
La 0.000 0.000 0.000
Pm 2.551 2.551 0.000
P 0.000 2.551 1.793
P 2.551 0.000 1.793
```

Values from the calculation:
For the offset from the most stable computed form, the calculation gives 444.3 meV per atom. Its density of states at the Fermi level is 1.79 states/eV/cell. The total energy comes out at -6.247 eV per atom. Its density is 6.2 g/cm³.

Crystalline DyY2Tm7 at its relaxed geometry. Source: the Alexandria database, functional GGA-PBE.

extended XYZ file:
```
10
Lattice="3.027 -14.723 0.000 3.027 14.723 0.000 -0.029 0.000 3.469" Properties=species:S:1:pos:R:3 pbc="T T T"
Dy 0.000 0.000 0.000
Y 3.013 8.598 1.734
Y 3.013 -8.598 1.734
Tm 1.482 2.929 0.932
Tm 3.027 5.605 0.000
Tm 1.482 -2.929 0.932
Tm 3.013 0.000 1.734
Tm 4.543 2.929 2.537
Tm 3.027 -5.605 0.000
Tm 4.543 -2.929 2.537
```

Values from the calculation:
For the offset from the most stable computed form, the calculation gives 0.0 meV per atom. Its density of states at the Fermi level is 15.90 states/eV/cell. The total energy comes out at -4.758 eV per atom. Its density is 8.2 g/cm³.

Crystalline NbCrSb2Te at its relaxed geometry. Source: the Alexandria database, functional GGA-PBE.

extended XYZ file:
```
5
Lattice="5.392 0.000 0.000 0.000 5.392 0.000 0.000 0.000 5.357" Properties=species:S:1:pos:R:3 pbc="T T T"
Nb 0.000 0.000 0.000
Cr 2.696 2.696 2.679
Sb 0.000 2.696 0.000
Sb 2.696 0.000 0.000
Te 0.000 0.000 2.679
```

Values from the calculation:
For the offset from the most stable computed form, the calculation gives 0.0 meV per atom. Its density of states at the Fermi level is 3.37 states/eV/cell. The total energy comes out at -5.541 eV per atom. Its density is 5.5 g/cm³.

Crystalline MgNpIr2 at its relaxed geometry. Source: the Alexandria database, functional GGA-PBE.

extended XYZ file:
```
4
Lattice="3.118 0.000 0.000 0.000 3.118 0.000 0.000 0.000 7.123" Properties=species:S:1:pos:R:3 pbc="T T T"
Mg 0.000 0.000 0.000
Np 0.000 0.000 3.562
Ir 1.559 1.559 1.672
Ir 1.559 1.559 5.451
```

Values from the calculation:
Its density of states at the Fermi level is 5.41 states/eV/cell. The total energy comes out at -8.398 eV per atom. Its density is 15.5 g/cm³.

Crystalline Tb3Y6Ho2Er at its relaxed geometry. Source: the Alexandria database, functional GGA-PBE.

extended XYZ file:
```
12
Lattice="3.081 -5.329 0.000 3.081 5.329 0.000 -2.043 0.000 11.605" Properties=species:S:1:pos:R:3 pbc="T T T"
Tb 0.000 0.000 0.000
Tb 3.081 1.776 0.000
Tb 3.081 -1.776 0.000
Y 1.030 1.775 2.915
Y 0.009 0.000 8.691
Y 1.030 -1.775 2.915
Y 3.088 1.775 8.690
Y 4.109 0.000 2.914
Y 3.088 -1.775 8.690
Ho 2.059 3.553 5.802
Ho 2.059 -3.553 5.802
Er 2.059 0.000 5.802
```

Values from the calculation:
Its density of states at the Fermi level is 17.34 states/eV/cell. The total energy comes out at -5.511 eV per atom. Its density is 6.6 g/cm³.

Crystalline Te2RhI at its relaxed geometry. Source: the Alexandria database, functional GGA-PBE.

extended XYZ file:
```
8
Lattice="-4.697 4.697 2.975 4.697 -4.697 2.975 4.697 4.697 -2.975" Properties=species:S:1:pos:R:3 pbc="T T T"
Te 6.157 1.460 0.000
Te 1.460 3.237 0.000
Te 3.237 1.460 2.975
Te -1.460 3.237 2.975
Rh 4.697 0.000 1.487
Rh 0.000 4.697 1.487
I 0.000 0.000 1.487
I 0.000 0.000 4.462
```

Values from the calculation:
Its density of states at the Fermi level is 7.88 states/eV/cell. The total energy comes out at -3.760 eV per atom. Its density is 6.1 g/cm³.